The following is a PBE calculation of a relaxed ZnReSe2 crystal, from Alexandria via LeMat-Bulk.

- SG = No. 6
- final energy (eV for the cell shown) = -20.18
- excess energy over the best structure of this formula in the dataset (meV per atom) = 51.2
- raw formation energy (eV per formula unit) = 0.51
- M_tot (μB/f.u.) = 0.0

Lattice parameters (Å, degrees): 3.290 3.318 8.006 90.00 100.90 90.00
Sites, in units of the cell vectors:
Zn 0.000 0.000 0.000
Re 0.577 0.500 0.166
Se 0.425 0.500 0.838
Se 0.680 0.000 0.391

The following is a PBE calculation of a relaxed CaTc2W crystal, from Alexandria via LeMat-Bulk.

- SG = No. 160
- calculated formation energy (kcal/mol of atoms) = 13.686
- final energy (eV for the cell shown) = -33.31
- excess energy over the best structure of this formula in the dataset (meV per atom) = 294.0
- M_tot (μB/f.u.) = 0.0

Lattice parameters (Å, degrees): 9.906 9.906 9.906 16.58 16.58 16.58
Sites, in units of the cell vectors:
Ca 0.000 0.000 0.000
Tc 0.243 0.243 0.243
Tc 0.506 0.506 0.506
W 0.760 0.760 0.760

The following is a PBE calculation of a relaxed Cs2HfTiTl crystal, from Alexandria via LeMat-Bulk.

- SG = No. 123
- calculated formation energy (kcal/mol of atoms) = 29.224
- final energy (eV for the cell shown) = -15.59
- M_tot (μB/f.u.) = 0.0

Lattice parameters (Å, degrees): 7.140 7.140 4.855 90.00 90.00 90.00
Sites, in units of the cell vectors:
Cs 0.000 0.500 0.000
Cs 0.500 0.000 0.000
Hf 0.000 0.000 0.000
Ti 0.000 0.000 0.500
Tl 0.500 0.500 0.500

The following is a PBE calculation of a relaxed Li2HfTlBr8 crystal, from Alexandria via LeMat-Bulk.

- SG = No. 2
- final energy (eV for the cell shown) = -43.56
- raw formation energy (eV per formula unit) = -14.03
- M_tot (μB/f.u.) = 0.2

Lattice parameters (Å, degrees): 6.025 6.762 9.176 90.02 90.14 91.69
Sites, in units of the cell vectors:
Li 0.000 0.000 0.224
Li 0.000 0.000 0.776
Hf 0.500 0.500 0.000
Tl 0.500 0.500 0.500
Br 0.246 0.028 0.500
Br 0.246 0.173 0.000
Br 0.256 0.655 0.797
Br 0.257 0.656 0.203
Br 0.743 0.344 0.797
Br 0.744 0.345 0.203
Br 0.754 0.827 0.000
Br 0.754 0.972 0.500